A plane-wave DFT calculation with PBE was carried out for crystalline Ta2TcPb at its relaxed geometry.

Cell lengths 3.213, 3.947, 6.105 Å; angles 90.00, 90.00, 90.00 degrees
Element x y z (fractional)
Ta (0.000, 0.000, 0.000)
Ta (0.500, 0.500, 0.223)
Tc (0.000, 0.000, 0.413)
Pb (0.500, 0.500, 0.711)

Computed properties:
The space-group type is Pmm2. For the electronic total energy, the calculation gives -9.1663 eV/atom. For the formation energy, the calculation gives 279 meV/atom.